No. 1
The following is a meta-GGA SCAN calculation of KSn2Te2 at its PBEsol-relaxed geometry, from Alexandria.

```
5
Lattice="-3.702 0.039 -4.519 -0.858 -4.735 4.438 -4.488 0.660 3.682" Properties=species:S:1:pos:R:3 pbc="T T T"
Sn -4.235 -1.176 -0.317
Sn -4.812 -2.860 3.917
K 0.000 0.000 0.000
Te -2.476 -2.193 2.010
Te -6.571 -1.843 1.591
```

Results
ρ: 5.1 Mg/m³
VASP energy: -156.72 eV for the cell shown
space-group type: I4/mmm (139)
E_form (uncorrected): -409 meV/atom

No. 2
The following is a meta-GGA SCAN calculation of ScMo at its PBEsol-relaxed geometry, from Alexandria.

```
4
Lattice="4.625 0.000 0.000 2.312 4.005 0.000 2.312 1.335 3.776" Properties=species:S:1:pos:R:3 pbc="T T T"
Sc 0.000 0.000 0.000
Sc 2.312 1.335 0.944
Mo 4.625 2.670 1.888
Mo 6.937 4.005 2.832
```

Results
formation enthalpy at 0 K: 0.157 eV/atom
ρ: 6.7 Mg/m³
VASP energy: -97.62 eV for the cell shown
space-group type: Fd-3m (227)
relative energy among the computed polymorphs: 160 meV/atom

No. 3
The following is a meta-GGA SCAN calculation of Nd2Al2Fe15 at its PBEsol-relaxed geometry, from Alexandria.

```
19
Lattice="-0.455 1.995 5.962 -2.432 -5.259 2.481 5.372 -2.497 2.153" Properties=species:S:1:pos:R:3 pbc="T T T"
Fe -0.380 -4.594 4.836
Fe 1.225 0.700 4.864
Fe 1.872 -4.812 4.011
Fe 3.122 -3.294 2.247
Fe 2.866 -1.167 5.760
Fe -1.056 -2.555 5.925
Fe -1.862 -3.168 3.485
Fe -0.227 0.998 2.981
Fe 3.692 -1.202 3.251
Fe -0.182 -4.463 2.386
Fe 0.613 -0.949 6.585
Fe -1.025 -0.096 4.958
Fe 3.541 -3.206 4.671
Fe -1.216 -2.630 1.241
Fe 2.686 -1.249 1.076
Al 2.232 -5.175 9.518
Al 0.253 -0.586 1.078
Nd 0.862 -2.000 3.677
Nd 1.623 -3.762 6.918
```

Results
formation enthalpy at 0 K: 0.009 eV/atom
ρ: 8.0 Mg/m³
VASP energy: -374.44 eV for the cell shown
space-group type: R-3m (166)